# 1
Entry from Alexandria via LeMat-Bulk: a relaxed structure of BSI3 (PBEsol).

abc: 5.409 5.409 5.409
angles: 90.00 90.00 90.00
Atoms (fractional coordinates):
1 B 0.000 0.000 0.000
2 S 0.500 0.500 0.500
3 I 0.000 0.500 0.500
4 I 0.500 0.000 0.500
5 I 0.500 0.500 0.000

---

# 2
Entry from Alexandria via LeMat-Bulk: a relaxed structure of BSb2SI (PBEsol).

abc: 5.184 5.184 5.197
angles: 90.00 90.00 90.00
Atoms (fractional coordinates):
1 B 0.000 0.000 0.000
2 Sb 0.000 0.500 0.500
3 Sb 0.500 0.000 0.500
4 S 0.500 0.500 0.500
5 I 0.500 0.500 0.000

---

# 3
Entry from Alexandria via LeMat-Bulk: a relaxed structure of TlBS2I (PBEsol).

abc: 5.252 5.252 4.335
angles: 90.00 90.00 90.00
Atoms (fractional coordinates):
1 Tl 0.000 0.000 0.000
2 B 0.000 0.000 0.500
3 S 0.000 0.500 0.000
4 S 0.500 0.000 0.000
5 I 0.500 0.500 0.500

---

| no. | uncorrected formation energy (meV per atom) |
| --- | --- |
| 1 | 1157 |
| 2 | 1435 |
| 3 | 1272 |